No. 1
SmGa2CuPd2 | GGA-PBE | optimized geometry

Unit cell a=5.307 b=5.307 c=4.334 alpha=90.00 beta=90.00 gamma=119.89
Element x y z (fractional)
Sm 0.000 0.000 0.000
Ga 0.000 0.500 0.500
Ga 0.500 0.000 0.500
Cu 0.500 0.500 0.500
Pd 0.333 0.667 0.000
Pd 0.667 0.333 0.000

---

No. 2
Ho2CdCu2 | GGA-PBE | optimized geometry

Unit cell a=7.451 b=7.451 c=3.730 alpha=90.00 beta=90.00 gamma=90.00
Element x y z (fractional)
Ho 0.174 0.326 0.000
Ho 0.326 0.826 0.000
Ho 0.674 0.174 0.000
Ho 0.826 0.674 0.000
Cd 0.000 0.000 0.500
Cd 0.500 0.500 0.500
Cu 0.120 0.620 0.500
Cu 0.380 0.120 0.500
Cu 0.620 0.880 0.500
Cu 0.880 0.380 0.500

---

No. 3
NbNiMoAs | GGA-PBE | optimized geometry

Unit cell a=4.397 b=4.397 c=4.397 alpha=60.00 beta=60.00 gamma=60.00
Element x y z (fractional)
Nb 0.000 0.000 0.000
Ni 0.750 0.750 0.750
Mo 0.250 0.250 0.250
As 0.500 0.500 0.500

---

Magnetic moment / μB per formula unit: 0.0 0.0 0.0
E_tot / eV/atom: -4.81 -3.81 -7.66